# CsPa2Se3 | the Alexandria database | PBE | optimized geometry
data_CsPa2Se3
_space_group_name_H-M_alt 'P 1'
_space_group_IT_number 1
_space_group_name_Hall 'P 1'
_cell_length_a 7.7300
_cell_length_b 7.5041
_cell_length_c 7.5041
_cell_angle_alpha 120.00
_cell_angle_beta 90.00
_cell_angle_gamma 90.00
loop_
_atom_site_label
_atom_site_type_symbol
_atom_site_fract_x
_atom_site_fract_y
_atom_site_fract_z
Pa1 Pa 0.5000 0.8333 0.1667
Pa2 Pa 0.5000 0.1667 0.8333
Pa3 Pa 0.0000 0.8333 0.1667
Pa4 Pa 0.0000 0.1667 0.8333
Se1 Se 0.7500 0.9997 0.9997
Se2 Se 0.7500 0.5000 0.0002
Se3 Se 0.7500 0.0002 0.5000
Se4 Se 0.2500 0.5000 0.9998
Se5 Se 0.2500 0.0003 0.0003
Se6 Se 0.2500 0.9998 0.5000
Cs1 Cs 0.7500 0.5001 0.5001
Cs2 Cs 0.2500 0.4999 0.4999
# * electronic total energy: -6.129 eV per atom
# * magnetization: 3.725 μB/f.u.
# * formation energy without anion corrections: -1079 meV per atom
# * crystal system: hexagonal